Record 1
Here is an optimized crystal structure of GdTlOs from OQMD. Energies are from PBE.

Output
Volume: 24.86 Å³/atom
Energy above the most stable polymorph in this dataset: 0 meV/atom
Electronic total energy: -5.390 eV per atom

abc: 4.725 4.725 4.725
angles: 60.00 60.00 60.00
Fractional coordinates of all 3 atoms:
Gd (0.000, 0.000, 0.000)
Tl (0.250, 0.250, 0.250)
Os (0.500, 0.500, 0.500)

---

Record 2
Here is an optimized crystal structure of LaZrAgN from OQMD. Energies are from PBE.

Output
Volume: 19.67 Å³/atom
Electronic total energy: -7.088 eV per atom

abc: 9.927 9.927 4.582
angles: 90.00 90.00 159.61
Fractional coordinates of all 8 atoms:
La (0.110, 0.890, 0.750)
La (0.890, 0.110, 0.250)
Zr (0.282, 0.718, 0.750)
Zr (0.718, 0.282, 0.250)
Ag (0.455, 0.545, 0.750)
Ag (0.545, 0.455, 0.250)
N (0.292, 0.708, 0.250)
N (0.708, 0.292, 0.750)

---

Record 3
Here is an optimized crystal structure of Sr2ZnP2 from OQMD. Energies are from PBE.

Output
Volume: 25.23 Å³/atom
Electronic total energy: -4.020 eV per atom

abc: 7.699 7.699 7.699
angles: 130.09 71.44 132.40
Fractional coordinates of all 10 atoms:
Sr (0.141, 0.191, 0.331)
Sr (0.359, 0.691, 0.050)
Sr (0.641, 0.309, 0.950)
Sr (0.859, 0.809, 0.669)
Zn (0.250, 0.750, 0.500)
Zn (0.750, 0.250, 0.500)
P (0.111, 0.710, 0.821)
P (0.389, 0.210, 0.599)
P (0.611, 0.790, 0.401)
P (0.889, 0.290, 0.179)

---

Record 4
Here is an optimized crystal structure of Pm2SmN3 from OQMD. Energies are from PBE.

Output
Volume: 16.33 Å³/atom
Electronic total energy: -7.983 eV per atom

abc: 3.587 3.587 8.790
angles: 90.00 90.00 120.00
Fractional coordinates of all 6 atoms:
Pm (0.333, 0.667, 0.333)
Pm (0.667, 0.333, 0.667)
Sm (0.000, 0.000, 0.000)
N (0.000, 0.000, 0.500)
N (0.333, 0.667, 0.834)
N (0.667, 0.333, 0.166)

---

Record 5
Here is an optimized crystal structure of K5OsO6 from OQMD. Energies are from PBE.

Output
Volume: 16.51 Å³/atom
Electronic total energy: -5.253 eV per atom

abc: 6.276 6.276 6.163
angles: 100.39 100.39 119.12
Fractional coordinates of all 12 atoms:
K (0.000, 0.000, 0.000)
K (0.166, 0.834, 0.500)
K (0.329, 0.671, 0.000)
K (0.671, 0.329, 0.000)
K (0.834, 0.166, 0.500)
Os (0.500, 0.500, 0.500)
O (0.183, 0.436, 0.304)
O (0.319, 0.319, 0.691)
O (0.436, 0.183, 0.304)
O (0.564, 0.817, 0.696)
O (0.681, 0.681, 0.309)
O (0.817, 0.564, 0.696)

---

Record 6
Here is an optimized crystal structure of AcZrAg from OQMD. Energies are from PBE.

Output
Volume: 31.50 Å³/atom
ΔE_f: 0.448 eV/atom
Energy above the most stable polymorph in this dataset: 0 meV/atom
Electronic total energy: -4.711 eV per atom

abc: 5.113 5.113 5.113
angles: 60.00 60.00 60.00
Fractional coordinates of all 3 atoms:
Ac (0.000, 0.000, 0.000)
Zr (0.500, 0.500, 0.500)
Ag (0.250, 0.250, 0.250)